No. 1
Density functional theory data (PBE-GGA) for Na2ZnSO4 after structural relaxation.

Energy relative to the elements, uncorrected = -1.05 eV/atom
Calculated total energy = -36.3 eV/f.u.
Magnetization = 0.00 μB per cell
Symmetry = No. 82

The structure in POSCAR format:
```
Na2ZnSO4
1.0
-2.6947 2.6947 3.7797
2.6947 -2.6947 3.7797
2.6947 2.6947 -3.7797
Na Zn S O
2 1 1 4
direct
0.0000 0.0000 0.0000
0.7500 0.2500 0.5000
0.2500 0.7500 0.5000
0.5000 0.5000 0.0000
0.2063 0.1485 0.5801
0.3738 0.7937 0.9421
0.5684 0.6262 0.4199
0.8515 0.4316 0.0579
```


No. 2
Density functional theory data (PBE-GGA) for CoTc2 after structural relaxation.

Energy relative to the lowest polymorph listed for this composition = 191.2 kJ/mol of formula units
Calculated total energy = -25.8 eV/f.u.
Formation energy from the elements = 2.020 eV per formula unit
Magnetization = 0.84 μB per cell
Symmetry = No. 225

The structure in POSCAR format:
```
CoTc2
1.0
0.0000 2.8224 2.8224
2.8224 0.0000 2.8224
2.8224 2.8224 0.0000
Co Tc
1 2
direct
0.0000 0.0000 0.0000
0.2500 0.2500 0.2500
0.7500 0.7500 0.7500
```


No. 3
Density functional theory data (PBE-GGA) for KSiPb2 after structural relaxation.

Energy relative to the elements, uncorrected = 0.22 eV/atom
Calculated total energy = -13.0 eV/f.u.
Magnetization = 0.00 μB per cell
Symmetry = No. 10

The structure in POSCAR format:
```
KSiPb2
1.0
3.5696 0.0000 0.0000
0.0000 5.0993 0.0000
-1.3633 0.0000 6.8493
K Si Pb
1 1 2
direct
0.0000 0.0000 0.0000
0.5000 0.0000 0.5000
0.3268 0.5000 0.6929
0.6732 0.5000 0.3071
```


No. 4
Density functional theory data (PBE-GGA) for Co4Pb after structural relaxation.

Energy relative to the lowest polymorph listed for this composition = 0.0 kJ/mol of formula units
Calculated total energy = -30.4 eV/f.u.
Formation energy from the elements = 1.773 eV per formula unit
Magnetization = 5.45 μB per cell
Symmetry = No. 87

The structure in POSCAR format:
```
Co4Pb
1.0
-2.9808 2.9808 1.8701
2.9808 -2.9808 1.8701
2.9808 2.9808 -1.8701
Co Pb
4 1
direct
0.0881 0.6820 0.7702
0.3180 0.0881 0.4061
0.6820 0.9119 0.5939
0.9119 0.3180 0.2298
0.5000 0.5000 0.0000
```